This record from Alexandria via LeMat-Bulk describes a relaxed structure of Pr2ScSb4. The functional is GGA-PBE.

a b c (Å): 4.3484 4.3484 11.4540
angles (deg): 90.00 90.00 90.00
Last column: nearest neighbours and their distance in Å.
Fractional positions:
Sb 0.5000 0.5000 0.5000  4 Sb 3.07, 4 Pr 3.32
Sb 0.0000 0.0000 0.5000  4 Sb 3.07, 4 Pr 3.32
Sb 0.5000 0.0000 0.1657  2 Sc 2.89
Sb 0.0000 0.5000 0.8343  2 Sc 2.89
Sc 0.5000 0.5000 0.0000  4 Sb 2.89
Pr 0.0000 0.5000 0.2815  8 Sb 3.32-3.35
Pr 0.5000 0.0000 0.7185  8 Sb 3.32-3.35

Calculated values
magnetic moment: 0.00 μB per cell
formation energy without anion corrections: -0.84 eV/atom



This record from Alexandria via LeMat-Bulk describes a relaxed structure of CuAg3. The functional is GGA-PBE.

a b c (Å): 4.9376 4.9376 11.5499
angles (deg): 150.13 150.13 34.27
Last column: nearest neighbours and their distance in Å.
Fractional positions:
Ag 0.0178 0.0178 0.0092  3 Cu 2.75-2.93, 9 Ag 2.83-2.93
Ag 0.0000 0.0000 0.7500  8 Ag 2.84-2.91, 4 Cu 2.88
Ag 0.9822 0.9822 0.4908  3 Cu 2.75-2.93, 9 Ag 2.83-2.93
Cu 0.0000 0.0000 0.2500  10 Ag 2.75-2.93, 2 Cu 2.91

Calculated values
magnetic moment: 0.00 μB per cell
DFT formation energy: 0.106 eV per atom



This record from Alexandria via LeMat-Bulk describes a relaxed structure of RbBaAlCl6. The functional is GGA-PBE.

a b c (Å): 7.3146 7.3118 6.2504
angles (deg): 89.99 89.99 60.01
Last column: nearest neighbours and their distance in Å.
Fractional positions:
Ba 0.0000 0.0000 0.0000  6 Cl 3.16
Cl 0.6047 0.0811 0.2771  1 Al 2.37
Cl 0.3142 0.0808 0.7227  1 Al 2.37
Cl 0.0810 0.3144 0.2769  1 Al 2.37
Cl 0.6046 0.3142 0.7230  1 Al 2.37
Cl 0.0809 0.6047 0.7230  1 Al 2.37
Cl 0.3142 0.6050 0.2772  1 Al 2.37
Al 0.3333 0.3333 0.5000  6 Cl 2.37
Rb 0.6668 0.6665 0.5000  6 Cl 3.15-3.16

Calculated values
magnetic moment: 0.00 μB per cell
formation energy without anion corrections: -1.88 eV/atom



| no. | total DFT energy (no corrections) (eV per atom) |
| --- | --- |
| 1 | -5.46 |
| 2 | -3.06 |
| 3 | -3.84 |